ZnSiAu2 | GGA-PBEsol | optimized geometry

Lattice parameters (Å, degrees): 3.3202 3.3202 5.7109 90.00 90.00 90.00
Fractional coordinates of all 4 atoms:
Zn  0.0000  0.0000  0.0000
Si  0.0000  0.0000  0.5000
Au  0.5000  0.5000  0.2495
Au  0.5000  0.5000  0.7505

Calculated values
Space-group type: P4/mmm (123)
Formation energy from raw total energies: 0.012 eV per atom
Fermi-level density of states: 1.2 states/eV per cell

---

TlSbI3 | GGA-PBEsol | optimized geometry

Lattice parameters (Å, degrees): 5.9266 5.9266 5.9266 90.00 90.00 90.00
Fractional coordinates of all 5 atoms:
Tl  0.0000  0.0000  0.0000
Sb  0.5000  0.5000  0.5000
I  0.0000  0.0000  0.5000
I  0.0000  0.5000  0.0000
I  0.5000  0.0000  0.0000

Calculated values
Space-group type: Pm-3m (221)
Formation energy from raw total energies: 0.352 eV per atom
Fermi-level density of states: 5.7 states/eV per cell

---

Zr2TcRh | GGA-PBEsol | optimized geometry

Lattice parameters (Å, degrees): 3.2603 3.2603 6.4174 90.00 90.00 90.00
Fractional coordinates of all 4 atoms:
Zr  0.0000  0.0000  0.2456
Zr  0.0000  0.0000  0.7544
Tc  0.5000  0.5000  0.0000
Rh  0.5000  0.5000  0.5000

Calculated values
Space-group type: P4/mmm (123)
Energy of formation: -0.6563 eV/atom
Fermi-level density of states: 1.2 states/eV per cell

---

Tc2P | GGA-PBEsol | optimized geometry

Lattice parameters (Å, degrees): 5.1699 5.1699 5.5970 96.56 96.56 32.62
Fractional coordinates of all 6 atoms:
Tc  0.0000  0.0000  0.0000
Tc  0.0810  0.0810  0.5280
Tc  0.3612  0.3612  0.2950
Tc  0.7278  0.7278  0.8932
P  0.3830  0.3830  0.7114
P  0.6602  0.6602  0.2633

Calculated values
E above lowest polymorph: 0.043 eV/atom
Space-group type: Cm (8)
Energy of formation: -0.4508 eV/atom
Fermi-level density of states: 2.9 states/eV per cell

---

Ga2PdBr8 | GGA-PBEsol | optimized geometry

Lattice parameters (Å, degrees): 7.4792 7.4792 6.9364 93.32 93.32 66.01
Fractional coordinates of all 11 atoms:
Ga  0.2148  0.2148  0.3369
Ga  0.7852  0.7852  0.6631
Pd  0.0000  0.0000  0.0000
Br  0.0935  0.6743  0.8476
Br  0.1740  0.1740  0.6555
Br  0.3257  0.9065  0.1524
Br  0.3924  0.3924  0.2901
Br  0.6076  0.6076  0.7099
Br  0.6743  0.0935  0.8476
Br  0.8260  0.8260  0.3445
Br  0.9065  0.3257  0.1524

Calculated values
Space-group type: C2/m (12)
Formation energy from raw total energies: -0.642 eV per atom

---

Sr3CaI8 | GGA-PBEsol | optimized geometry

Lattice parameters (Å, degrees): 9.6117 9.6117 9.6117 131.81 131.81 70.52
Fractional coordinates of all 12 atoms:
Sr  0.0000  0.0000  0.0000
Sr  0.2500  0.7500  0.5000
Sr  0.7500  0.2500  0.5000
Ca  0.5000  0.5000  0.0000
I  0.1302  0.1302  0.5071
I  0.1302  0.6231  0.0000
I  0.3769  0.3769  0.5071
I  0.3769  0.8698  0.0000
I  0.6231  0.1302  0.0000
I  0.6231  0.6231  0.4929
I  0.8698  0.3769  0.0000
I  0.8698  0.8698  0.4929

Calculated values
Space-group type: I4/mmm (139)
Formation energy from raw total energies: -1.605 eV per atom
Fermi-level density of states: 0.0 states/eV per cell

---

Zn5Pt | GGA-PBEsol | optimized geometry

Lattice parameters (Å, degrees): 6.0398 6.0398 3.7775 90.00 90.00 143.19
Fractional coordinates of all 6 atoms:
Zn  0.0000  0.0000  0.0000
Zn  0.1654  0.8346  0.5000
Zn  0.3314  0.6686  0.0000
Zn  0.6686  0.3314  0.0000
Zn  0.8346  0.1654  0.5000
Pt  0.5000  0.5000  0.5000

Calculated values
Space-group type: Cmmm (65)
Energy of formation: -0.2429 eV/atom
Fermi-level density of states: 1.5 states/eV per cell

---

Fe2MoAs | GGA-PBEsol | optimized geometry

Lattice parameters (Å, degrees): 2.7488 2.7488 6.4048 90.00 90.00 90.00
Fractional coordinates of all 4 atoms:
Fe  0.0000  0.0000  0.2188
Fe  0.0000  0.0000  0.7812
Mo  0.5000  0.5000  0.5000
As  0.5000  0.5000  0.0000

Calculated values
Space-group type: P4/mmm (123)
Energy of formation: 0.0288 eV/atom
Fermi-level density of states: 2.5 states/eV per cell

---

| no. | magnetic moment (μB per cell) | ρ (Mg/m³) | final energy (Ry/atom) |
| --- | --- | --- | --- |
| 1 | 0.0 | 12.857 | -0.2780 |
| 2 | 2.0 | 5.638 | -0.1577 |
| 3 | 0.0 | 9.332 | -0.7388 |
| 4 | 0.0 | 9.413 | -0.7271 |
| 5 | 0.0 | 4.156 | -0.2316 |
| 6 | 0.0 | 4.529 | -0.2514 |
| 7 | 0.0 | 10.500 | -0.2000 |
| 8 | 0.0 | 9.695 | -0.6373 |